The following is a PBE calculation of a geometry-optimized Fe2Cu2Si structure, from Alexandria via LeMat-Bulk.

Computed properties:
Energy above the lowest structure with this stoichiometry (meV/atom): 218
Raw total energy (eV/cell): -57.45
Formation energy without anion corrections (kJ/mol of atoms): 35.0

abc: 3.2184 3.2184 12.5628
angles: 90.00 90.00 90.00
Space group I4/mmm (No. 139)
One atom of each set of equivalent atoms:
Fe: 0.0000 0.0000 0.0900 (multiplicity 4)
Cu: 0.0000 0.5000 0.2500 (multiplicity 4)
Si: 0.0000 0.0000 0.5000 (multiplicity 2)